Record 1
Sm2YHg3 | PBE | relaxed

```
Sm2YHg3
1.0
-2.8849 -1.0376 -4.3639
-1.2841 -2.2762 4.6490
-7.8469 10.1115 2.7833
Hg Y Sm
6 2 4
Direct
0.6667 0.3333 0.5820
0.6667 0.3333 0.0850
0.0000 0.0000 0.2525
0.3333 0.6667 0.9150
0.3333 0.6667 0.4180
0.0000 0.0000 0.7475
0.6667 0.3333 0.3329
0.3333 0.6667 0.6671
0.0000 0.0000 0.5000
0.6667 0.3333 0.8318
0.3333 0.6667 0.1682
0.0000 0.0000 0.0000
```

Results
total magnetic moment	0.162	μB per atom
calculated formation energy	-0.482	eV/atom
total DFT energy (no corrections)	-19.70	eV/f.u.
calculated volume	26.9	Å³/atom

=====

Record 2
Mg3Hg | PBE | relaxed

```
Mg3Hg
1.0
5.3119 0.0000 0.0000
0.0000 5.3119 0.0000
0.0000 0.0000 5.3119
Mg Hg
3 1
Direct
0.0000 0.5000 0.0000
0.5000 0.0000 0.0000
0.0000 0.0000 0.5000
0.0000 0.0000 0.0000
```

Results
total magnetic moment	0.000	μB per atom
calculated formation energy	0.240	eV/atom
total DFT energy (no corrections)	-4.12	eV/f.u.
calculated volume	37.5	Å³/atom

=====

Record 3
TiCoP2I | PBE | relaxed

```
TiCoP2I
1.0
-1.0691 2.3174 -3.4822
1.1765 -4.0784 -3.0754
-4.0691 -1.4089 0.3117
P Co I Ti
2 1 1 1
Direct
0.0000 0.0000 0.5000
0.5000 0.0000 0.0000
0.0000 0.0000 0.0000
0.0000 0.5000 0.0000
0.5000 0.5000 0.5000
```

Results
total magnetic moment	0.000	μB per atom
formation energy from raw total energies	563	meV/atom
total DFT energy (no corrections)	-24.55	eV/f.u.
calculated volume	19.5	Å³/atom

=====

Record 4
Rb2RuSF6 | PBE | relaxed

```
Rb2RuSF6
1.0
6.4747 0.0000 0.0000
0.0000 6.4747 0.0000
3.2373 3.2373 4.9927
F Ru S Rb
6 1 1 2
Direct
0.1950 0.1950 0.6100
0.8050 0.8050 0.3900
0.7854 0.2146 0.0000
0.2146 0.7854 0.0000
0.7854 0.7854 0.0000
0.2146 0.2146 0.0000
0.0000 0.0000 0.0000
0.5000 0.5000 0.0000
0.7500 0.2500 0.5000
0.2500 0.7500 0.5000
```

Results
total magnetic moment	0.400	μB per atom
formation energy from raw total energies	-1750	meV/atom
total DFT energy (no corrections)	-44.06	eV/f.u.
calculated volume	20.9	Å³/atom

=====

Record 5
H2RhN | PBE | relaxed

```
H2RhN
1.0
-4.0944 1.0931 0.6501
-0.6974 -0.0973 -4.2291
-3.1497 -2.4396 -1.5976
N Rh H
2 2 4
Direct
0.5000 0.5000 0.0000
0.2500 0.7500 0.5000
0.7500 0.2500 0.5000
0.0000 0.0000 0.0000
0.3750 0.6250 0.2500
0.3750 0.1250 0.2500
0.3750 0.6250 0.7500
0.8750 0.6250 0.7500
```

Results
total magnetic moment	0.000	μB per atom
total DFT energy (no corrections)	-19.24	eV/f.u.
calculated volume	7.0	Å³/atom

=====

Record 6
KGaNiBi2 | PBE | relaxed

```
KGaNiBi2
1.0
5.1273 0.0000 0.0000
0.0000 5.7529 0.0000
0.0000 0.0000 5.1273
Bi K Ni Ga
2 1 1 1
Direct
0.5000 0.0000 0.0000
0.0000 0.0000 0.5000
0.0000 0.5000 0.0000
0.0000 0.0000 0.0000
0.5000 0.5000 0.5000
```

Results
total magnetic moment	0.000	μB per atom
calculated formation energy	0.210	eV/atom
total DFT energy (no corrections)	-16.62	eV/f.u.
calculated volume	30.2	Å³/atom

=====

Looking at DOS at the Fermi energy for the records above, in order, we have 14.56, 1.28, 9.58, 7.15, 2.61, 3.18 states/eV/cell.